The following is a PBE calculation of a relaxed MnNbRe2H crystal, from Alexandria.

Output
Its magnetic moment is 3.0 μB/f.u. The total energy comes out at -47.19 eV per cell. As for the theoretical density: 13.80 g/cm3.

Cell lengths 4.2599, 4.2599, 3.4559 Å; angles 90.00, 90.00, 90.00 degrees
Space group P4/mmm (No. 123)
Asymmetric unit:
Mn (0.0000, 0.0000, 0.0000)
Nb (0.5000, 0.5000, 0.0000)
Re (0.0000, 0.5000, 0.5000)
H (0.0000, 0.0000, 0.5000)